AcTl2: relaxed, PBE.

Summary:
Energy relative to the elements (kJ/mol of formula units): -60
Uncorrected energy (Ry per atom): -0.232
Distance to the lowest polymorph of the same formula (meV/atom): 106.4

Geometry as POSCAR:
```
AcTl2
1.0
3.773 0.000 -1.160
-0.498 3.566 -1.619
0.041 0.930 6.849
Ac Tl
1 2
direct
0.500 0.500 0.000
0.180 0.180 0.360
0.820 0.820 0.640
```

***

Ac2Tl3: relaxed, PBE.

Summary:
Energy relative to the elements (kJ/mol of formula units): -130
Uncorrected energy (Ry per atom): -0.245

Geometry as POSCAR:
```
Ac2Tl3
1.0
6.656 0.034 0.000
3.096 5.893 0.000
-0.001 0.000 8.775
Tl Ac
6 4
direct
0.000 0.000 0.000
0.869 0.369 0.250
0.131 0.631 0.750
0.369 0.869 0.250
0.500 0.500 0.500
0.631 0.131 0.750
0.353 0.353 0.106
0.147 0.147 0.606
0.647 0.647 0.894
0.853 0.853 0.394
```

***

Ac13Tl2: relaxed, PBE.

Summary:
Energy relative to the elements (kJ/mol of formula units): -81
Uncorrected energy (Ry per atom): -0.289

Geometry as POSCAR:
```
Ac13Tl2
1.0
7.012 -0.177 1.045
-1.126 9.240 0.336
0.727 -4.087 9.800
Ac Tl
13 2
direct
0.212 0.820 0.230
0.281 0.007 0.647
0.788 0.180 0.770
0.541 0.375 0.588
0.951 0.420 0.294
0.000 0.000 0.000
0.459 0.625 0.412
0.049 0.580 0.706
0.521 0.795 0.851
0.252 0.404 0.944
0.479 0.205 0.149
0.719 0.993 0.353
0.748 0.596 0.056
0.867 0.789 0.546
0.133 0.211 0.454
```

***

AcTl2: relaxed, PBE.

Summary:
Energy relative to the elements (kJ/mol of formula units): -65
Uncorrected energy (Ry per atom): -0.233
Distance to the lowest polymorph of the same formula (meV/atom): 88.2

Geometry as POSCAR:
```
AcTl2
1.0
-0.373 0.884 6.404
1.554 -4.824 4.031
5.410 0.355 3.540
Tl Ac
4 2
direct
0.125 0.625 0.625
0.625 0.625 0.125
0.625 0.125 0.625
0.625 0.625 0.625
0.250 0.250 0.250
0.000 0.000 0.000
```

***

Ac3Tl: relaxed, PBE.

Summary:
Energy relative to the elements (kJ/mol of formula units): 5
Uncorrected energy (Ry per atom): -0.269
Distance to the lowest polymorph of the same formula (meV/atom): 160.3

Geometry as POSCAR:
```
Ac3Tl
1.0
-5.609 2.223 0.560
-4.595 -2.585 -2.986
-4.209 -3.127 3.037
Ac Tl
3 1
direct
0.250 0.250 0.250
0.000 0.000 0.000
0.750 0.750 0.750
0.500 0.500 0.500
```

***

Ac4Tl5: relaxed, PBE.

Summary:
Energy relative to the elements (kJ/mol of formula units): -273
Uncorrected energy (Ry per atom): -0.254

Geometry as POSCAR:
```
Ac4Tl5
1.0
-6.602 2.548 -0.535
-1.028 -0.551 10.059
3.606 8.447 -4.265
Ac Tl
8 10
direct
0.750 0.629 0.000
0.250 0.371 0.000
0.250 0.000 0.371
0.750 0.000 0.629
0.000 0.000 0.000
0.250 0.629 0.629
0.750 0.371 0.371
0.500 0.000 0.000
0.500 0.333 0.667
0.250 0.000 0.697
0.250 0.303 0.303
0.500 0.667 0.333
0.750 0.000 0.303
0.000 0.667 0.333
0.000 0.333 0.667
0.250 0.697 0.000
0.750 0.697 0.697
0.750 0.303 0.000
```

***

> What is the uncorrected energy in the second record?

-0.245 Ry per atom

***

> Which of these has the lowest uncorrected energy?

Ac13Tl2